No. 1
NbReNO | PBE | optimized geometry

POSCAR file:
```
NbReNO
1.0
0.524 1.630 -4.901
-4.419 2.706 -0.326
2.392 2.313 2.040
O Nb N Re
2 2 2 2
Cartesian
0.501 1.440 -3.050 O
-2.661 2.129 -0.122 O
1.049 3.427 0.327 Nb
-1.936 5.164 -3.305 Nb
-0.160 2.367 -0.729 N
-1.654 3.167 -2.531 N
-3.209 3.608 -1.360 Re
-0.336 2.983 -4.020 Re
```

Computed properties:
ΔE to the lowest computed polymorph: 62 kJ/mol of formula units

***

No. 2
NbReNO | PBE | optimized geometry

POSCAR file:
```
NbReNO
1.0
-1.471 -2.548 0.000
0.000 0.000 6.660
-4.224 2.439 0.000
Re N O Nb
2 2 2 2
Cartesian
-2.845 1.642 0.289 Re
-1.380 0.797 3.619 Re
-2.737 1.580 2.255 N
-1.488 0.859 5.585 N
-1.485 -0.842 2.285 O
-4.211 0.732 5.615 O
-1.506 -0.829 0.192 Nb
-4.190 0.720 3.522 Nb
```

Computed properties:
ΔE to the lowest computed polymorph: 0 kJ/mol of formula units

***

No. 3
NbReNO | PBE | optimized geometry

POSCAR file:
```
NbReNO
1.0
-2.731 2.303 -2.242
1.467 -1.725 -3.559
-3.289 -3.546 0.363
N O Nb Re
2 2 2 2
Cartesian
-2.136 -0.847 -4.220 N
-2.417 -2.120 -1.218 N
0.417 -0.718 -3.230 O
-1.682 1.296 -2.571 O
-3.326 -0.477 -2.390 Nb
-1.227 -2.491 -3.048 Nb
-0.584 -0.145 -1.421 Re
-3.969 -2.823 -4.017 Re
```

Computed properties:
ΔE to the lowest computed polymorph: 147 kJ/mol of formula units

***

No. 4
NbReNO | PBE | optimized geometry

POSCAR file:
```
NbReNO
1.0
-0.473 3.702 -0.920
-2.723 0.322 2.695
4.402 1.619 4.255
Nb Re O N
2 2 2 2
Cartesian
-0.166 1.239 1.055 Nb
1.373 4.404 4.975 Nb
0.041 1.976 3.918 Re
1.166 3.667 2.111 Re
-2.160 1.167 1.791 O
-1.035 2.857 -0.016 O
-0.828 3.595 2.848 N
2.034 2.048 3.182 N
```

Computed properties:
ΔE to the lowest computed polymorph: 78 kJ/mol of formula units

***

No. 5
NbSbNO | PBE | optimized geometry

POSCAR file:
```
NbSbNO
1.0
-1.630 1.632 -2.270
-4.948 -4.623 0.227
-3.141 3.599 4.842
N Nb Sb O
2 2 2 2
Cartesian
-4.044 0.789 3.470 N
-3.724 -2.179 1.106 N
-5.090 1.731 4.898 Nb
-4.524 -1.007 2.523 Nb
-7.727 0.844 3.846 Sb
-3.516 1.512 1.304 Sb
-6.264 -0.608 1.752 O
-2.269 -0.141 -0.780 O
```

Computed properties:
ΔE to the lowest computed polymorph: 25 kJ/mol of formula units

***

No. 6
NbSbN2O | PBE | optimized geometry

POSCAR file:
```
NbSbN2O
1.0
2.732 -2.732 0.000
2.732 2.732 0.000
-0.011 0.000 4.807
Nb O N Sb
1 1 2 1
Cartesian
2.733 0.000 1.889 Nb
2.732 0.000 3.705 O
1.371 -1.367 1.136 N
1.371 1.367 1.136 N
0.002 0.000 0.016 Sb
```

Computed properties:
uncorrected energy: -7.8963 eV/atom